Entry 1:
## Er2Pt2O5 (GGA-PBE)

Data for an optimized crystal structure of Er2Pt2O5.

```
data_Er2Pt2O5
_chemical_formula_sum 'Er2 Pt2 O5'
_space_group_name_H-M_alt 'P 1'
_space_group_IT_number 1
_cell_length_a 4.029
_cell_length_b 4.029
_cell_length_c 6.858
_cell_angle_alpha 90.00
_cell_angle_beta 90.00
_cell_angle_gamma 90.00
loop_
_space_group_symop_operation_xyz
'x,y,z'
loop_
_atom_site_label
_atom_site_type_symbol
_atom_site_fract_x
_atom_site_fract_y
_atom_site_fract_z
Er1 Er 0.000 0.000 0.000
Er2 Er 0.000 0.000 0.500
Pt1 Pt 0.500 0.500 0.191
Pt2 Pt 0.500 0.500 0.809
O1 O 0.000 0.500 0.239
O2 O 0.000 0.500 0.761
O3 O 0.500 0.000 0.239
O4 O 0.500 0.000 0.761
O5 O 0.500 0.500 0.500
```

Results
For the excess energy over the best structure of this formula in the dataset, the calculation gives 0.0 meV/atom. The space group is P4/mmm, No. 123.

=====

Entry 2:
## NdS (GGA-PBE)

Data for an optimized crystal structure of NdS.

```
data_NdS
_chemical_formula_sum 'Nd3 S3'
_space_group_name_H-M_alt 'P 1'
_space_group_IT_number 1
_cell_length_a 4.064
_cell_length_b 4.064
_cell_length_c 9.963
_cell_angle_alpha 90.00
_cell_angle_beta 90.00
_cell_angle_gamma 120.00
loop_
_space_group_symop_operation_xyz
'x,y,z'
loop_
_atom_site_label
_atom_site_type_symbol
_atom_site_fract_x
_atom_site_fract_y
_atom_site_fract_z
Nd1 Nd 0.000 0.000 0.000
Nd2 Nd 0.333 0.667 0.667
Nd3 Nd 0.667 0.333 0.333
S1 S 0.000 0.000 0.500
S2 S 0.333 0.667 0.166
S3 S 0.667 0.333 0.834
```

Results
For the excess energy over the best structure of this formula in the dataset, the calculation gives 0.0 meV/atom. The space group is P-3m1, No. 164.

=====

Entry 3:
## MgCuBAu (GGA-PBE)

Data for an optimized crystal structure of MgCuBAu.

```
data_MgCuBAu
_chemical_formula_sum 'Mg4 Cu4 B4 Au4'
_space_group_name_H-M_alt 'P 1'
_space_group_IT_number 1
_cell_length_a 5.977
_cell_length_b 5.977
_cell_length_c 5.977
_cell_angle_alpha 90.00
_cell_angle_beta 90.00
_cell_angle_gamma 90.00
loop_
_space_group_symop_operation_xyz
'x,y,z'
loop_
_atom_site_label
_atom_site_type_symbol
_atom_site_fract_x
_atom_site_fract_y
_atom_site_fract_z
Mg1 Mg 0.000 0.000 0.000
Mg2 Mg 0.000 0.500 0.500
Mg3 Mg 0.500 0.000 0.500
Mg4 Mg 0.500 0.500 0.000
Cu1 Cu 0.250 0.250 0.750
Cu2 Cu 0.250 0.750 0.250
Cu3 Cu 0.750 0.250 0.250
Cu4 Cu 0.750 0.750 0.750
B1 B 0.000 0.000 0.500
B2 B 0.000 0.500 0.000
B3 B 0.500 0.000 0.000
B4 B 0.500 0.500 0.500
Au1 Au 0.250 0.250 0.250
Au2 Au 0.250 0.750 0.750
Au3 Au 0.750 0.250 0.750
Au4 Au 0.750 0.750 0.250
```

Results
For the excess energy over the best structure of this formula in the dataset, the calculation gives 0.0 meV/atom. The space group is F-43m, No. 216.

=====

Entry 4:
## LiUCo (GGA-PBE)

Data for an optimized crystal structure of LiUCo.

```
data_LiUCo
_chemical_formula_sum 'Li4 U4 Co4'
_space_group_name_H-M_alt 'P 1'
_space_group_IT_number 1
_cell_length_a 6.069
_cell_length_b 6.069
_cell_length_c 6.069
_cell_angle_alpha 90.00
_cell_angle_beta 90.00
_cell_angle_gamma 90.00
loop_
_space_group_symop_operation_xyz
'x,y,z'
loop_
_atom_site_label
_atom_site_type_symbol
_atom_site_fract_x
_atom_site_fract_y
_atom_site_fract_z
Li1 Li 0.000 0.000 0.000
Li2 Li 0.000 0.500 0.500
Li3 Li 0.500 0.000 0.500
Li4 Li 0.500 0.500 0.000
U1 U 0.250 0.250 0.750
U2 U 0.250 0.750 0.250
U3 U 0.750 0.250 0.250
U4 U 0.750 0.750 0.750
Co1 Co 0.000 0.000 0.500
Co2 Co 0.000 0.500 0.000
Co3 Co 0.500 0.000 0.000
Co4 Co 0.500 0.500 0.500
```

Results
For the excess energy over the best structure of this formula in the dataset, the calculation gives 614.5 meV/atom. The space group is F-43m, No. 216.

=====

Entry 5:
## Gd2LuFe9 (GGA-PBE)

Data for an optimized crystal structure of Gd2LuFe9.

```
data_Gd2LuFe9
_chemical_formula_sum 'Gd2 Lu1 Fe9'
_space_group_name_H-M_alt 'P 1'
_space_group_IT_number 1
_cell_length_a 8.577
_cell_length_b 8.577
_cell_length_c 8.577
_cell_angle_alpha 34.07
_cell_angle_beta 34.07
_cell_angle_gamma 34.07
loop_
_space_group_symop_operation_xyz
'x,y,z'
loop_
_atom_site_label
_atom_site_type_symbol
_atom_site_fract_x
_atom_site_fract_y
_atom_site_fract_z
Gd1 Gd 0.142 0.142 0.142
Gd2 Gd 0.858 0.858 0.858
Lu1 Lu 0.000 0.000 0.000
Fe1 Fe 0.082 0.580 0.580
Fe2 Fe 0.333 0.333 0.333
Fe3 Fe 0.420 0.420 0.918
Fe4 Fe 0.420 0.918 0.420
Fe5 Fe 0.500 0.500 0.500
Fe6 Fe 0.580 0.082 0.580
Fe7 Fe 0.580 0.580 0.082
Fe8 Fe 0.667 0.667 0.667
Fe9 Fe 0.918 0.420 0.420
```

Results
For the energy of formation from the pure elements, the calculation gives -54.3 meV per atom. The space group is R-3m, No. 166.

=====

Entry 6:
## LiNiSn (GGA-PBE)

Data for an optimized crystal structure of LiNiSn.

```
data_LiNiSn
_chemical_formula_sum 'Li4 Ni4 Sn4'
_space_group_name_H-M_alt 'P 1'
_space_group_IT_number 1
_cell_length_a 5.916
_cell_length_b 5.916
_cell_length_c 5.916
_cell_angle_alpha 90.00
_cell_angle_beta 90.00
_cell_angle_gamma 90.00
loop_
_space_group_symop_operation_xyz
'x,y,z'
loop_
_atom_site_label
_atom_site_type_symbol
_atom_site_fract_x
_atom_site_fract_y
_atom_site_fract_z
Li1 Li 0.000 0.000 0.000
Li2 Li 0.000 0.500 0.500
Li3 Li 0.500 0.000 0.500
Li4 Li 0.500 0.500 0.000
Ni1 Ni 0.250 0.250 0.250
Ni2 Ni 0.250 0.750 0.750
Ni3 Ni 0.750 0.250 0.750
Ni4 Ni 0.750 0.750 0.250
Sn1 Sn 0.000 0.000 0.500
Sn2 Sn 0.000 0.500 0.000
Sn3 Sn 0.500 0.000 0.000
Sn4 Sn 0.500 0.500 0.500
```

Results
The space group is F-43m, No. 216. As for the total DFT energy (no corrections): -48.1 eV per cell.

=====

Entry 7:
## SrNdPI (GGA-PBE)

Data for an optimized crystal structure of SrNdPI.

```
data_SrNdPI
_chemical_formula_sum 'Sr3 Nd3 P3 I3'
_space_group_name_H-M_alt 'P 1'
_space_group_IT_number 1
_cell_length_a 4.325
_cell_length_b 4.325
_cell_length_c 23.408
_cell_angle_alpha 90.00
_cell_angle_beta 90.00
_cell_angle_gamma 120.00
loop_
_space_group_symop_operation_xyz
'x,y,z'
loop_
_atom_site_label
_atom_site_type_symbol
_atom_site_fract_x
_atom_site_fract_y
_atom_site_fract_z
Sr1 Sr 0.000 0.000 0.000
Sr2 Sr 0.333 0.667 0.667
Sr3 Sr 0.667 0.333 0.333
Nd1 Nd 0.000 0.000 0.464
Nd2 Nd 0.333 0.667 0.130
Nd3 Nd 0.667 0.333 0.797
P1 P 0.000 0.000 0.736
P2 P 0.333 0.667 0.403
P3 P 0.667 0.333 0.069
I1 I 0.000 0.000 0.229
I2 I 0.333 0.667 0.895
I3 I 0.667 0.333 0.562
```

Results
The space group is R3m, No. 160. As for the total DFT energy (no corrections): -56.3 eV per cell.

=====

Entry 8:
## Tl2HgPtF6 (GGA-PBE)

Data for an optimized crystal structure of Tl2HgPtF6.

```
data_Tl2HgPtF6
_chemical_formula_sum 'Tl2 Hg1 Pt1 F6'
_space_group_name_H-M_alt 'P 1'
_space_group_IT_number 1
_cell_length_a 6.203
_cell_length_b 6.203
_cell_length_c 6.203
_cell_angle_alpha 60.00
_cell_angle_beta 60.00
_cell_angle_gamma 60.00
loop_
_space_group_symop_operation_xyz
'x,y,z'
loop_
_atom_site_label
_atom_site_type_symbol
_atom_site_fract_x
_atom_site_fract_y
_atom_site_fract_z
Tl1 Tl 0.250 0.250 0.250
Tl2 Tl 0.750 0.750 0.750
Hg1 Hg 0.000 0.000 0.000
Pt1 Pt 0.500 0.500 0.500
F1 F 0.267 0.267 0.733
F2 F 0.267 0.733 0.267
F3 F 0.267 0.733 0.733
F4 F 0.733 0.267 0.267
F5 F 0.733 0.267 0.733
F6 F 0.733 0.733 0.267
```

Results
The space group is Fm-3m, No. 225. As for the total DFT energy (no corrections): -35.8 eV per cell.

=====

Entry 9:
## BaTc2 (GGA-PBE)

Data for an optimized crystal structure of BaTc2.

```
data_BaTc2
_chemical_formula_sum 'Ba2 Tc4'
_space_group_name_H-M_alt 'P 1'
_space_group_IT_number 1
_cell_length_a 5.645
_cell_length_b 5.645
_cell_length_c 5.645
_cell_angle_alpha 60.00
_cell_angle_beta 60.00
_cell_angle_gamma 60.00
loop_
_space_group_symop_operation_xyz
'x,y,z'
loop_
_atom_site_label
_atom_site_type_symbol
_atom_site_fract_x
_atom_site_fract_y
_atom_site_fract_z
Ba1 Ba 0.125 0.125 0.125
Ba2 Ba 0.875 0.875 0.875
Tc1 Tc 0.000 0.500 0.500
Tc2 Tc 0.500 0.000 0.500
Tc3 Tc 0.500 0.500 0.000
Tc4 Tc 0.500 0.500 0.500
```

Results
The space group is Fd-3m, No. 227. As for the total DFT energy (no corrections): -40.2 eV per cell.

=====

Entry 10:
## Hf2CdCo (GGA-PBE)

Data for an optimized crystal structure of Hf2CdCo.

```
data_Hf2CdCo
_chemical_formula_sum 'Hf8 Cd4 Co4'
_space_group_name_H-M_alt 'P 1'
_space_group_IT_number 1
_cell_length_a 6.603
_cell_length_b 6.603
_cell_length_c 6.603
_cell_angle_alpha 90.00
_cell_angle_beta 90.00
_cell_angle_gamma 90.00
loop_
_space_group_symop_operation_xyz
'x,y,z'
loop_
_atom_site_label
_atom_site_type_symbol
_atom_site_fract_x
_atom_site_fract_y
_atom_site_fract_z
Hf1 Hf 0.000 0.000 0.000
Hf2 Hf 0.000 0.500 0.500
Hf3 Hf 0.250 0.250 0.250
Hf4 Hf 0.250 0.750 0.750
Hf5 Hf 0.500 0.000 0.500
Hf6 Hf 0.500 0.500 0.000
Hf7 Hf 0.750 0.250 0.750
Hf8 Hf 0.750 0.750 0.250
Cd1 Cd 0.250 0.250 0.750
Cd2 Cd 0.250 0.750 0.250
Cd3 Cd 0.750 0.250 0.250
Cd4 Cd 0.750 0.750 0.750
Co1 Co 0.000 0.000 0.500
Co2 Co 0.000 0.500 0.000
Co3 Co 0.500 0.000 0.000
Co4 Co 0.500 0.500 0.500
```

Results
For the energy of formation from the pure elements, the calculation gives 249.2 meV per atom. The space group is F-43m, No. 216.

=====

Entry 11:
## Y4Ta2Ni3C3 (GGA-PBE)

Data for an optimized crystal structure of Y4Ta2Ni3C3.

```
data_Y4Ta2Ni3C3
_chemical_formula_sum 'Y8 Ta4 Ni6 C6'
_space_group_name_H-M_alt 'P 1'
_space_group_IT_number 1
_cell_length_a 5.953
_cell_length_b 5.953
_cell_length_c 13.565
_cell_angle_alpha 103.22
_cell_angle_beta 103.22
_cell_angle_gamma 60.17
loop_
_space_group_symop_operation_xyz
'x,y,z'
loop_
_atom_site_label
_atom_site_type_symbol
_atom_site_fract_x
_atom_site_fract_y
_atom_site_fract_z
Y1 Y 0.050 0.193 0.114
Y2 Y 0.116 0.293 0.386
Y3 Y 0.193 0.050 0.614
Y4 Y 0.293 0.116 0.886
Y5 Y 0.707 0.884 0.114
Y6 Y 0.807 0.950 0.386
Y7 Y 0.884 0.707 0.614
Y8 Y 0.950 0.807 0.886
Ta1 Ta 0.347 0.526 0.080
Ta2 Ta 0.474 0.653 0.420
Ta3 Ta 0.526 0.347 0.580
Ta4 Ta 0.653 0.474 0.920
Ni1 Ni 0.182 0.581 0.252
Ni2 Ni 0.352 0.648 0.750
Ni3 Ni 0.419 0.818 0.248
Ni4 Ni 0.581 0.182 0.752
Ni5 Ni 0.648 0.352 0.250
Ni6 Ni 0.818 0.419 0.748
C1 C 0.000 0.500 0.000
C2 C 0.204 0.648 0.500
C3 C 0.352 0.796 0.000
C4 C 0.500 0.000 0.500
C5 C 0.648 0.204 0.000
C6 C 0.796 0.352 0.500
```

Results
The space group is C2/c, No. 15. As for the total DFT energy (no corrections): -196.1 eV per cell.

=====

Entry 12:
## ZnCu3H (GGA-PBE)

Data for an optimized crystal structure of ZnCu3H.

```
data_ZnCu3H
_chemical_formula_sum 'Zn1 Cu3 H1'
_space_group_name_H-M_alt 'P 1'
_space_group_IT_number 1
_cell_length_a 3.709
_cell_length_b 3.709
_cell_length_c 3.728
_cell_angle_alpha 90.00
_cell_angle_beta 90.00
_cell_angle_gamma 90.00
loop_
_space_group_symop_operation_xyz
'x,y,z'
loop_
_atom_site_label
_atom_site_type_symbol
_atom_site_fract_x
_atom_site_fract_y
_atom_site_fract_z
Zn1 Zn 0.000 0.000 0.000
Cu1 Cu 0.000 0.500 0.500
Cu2 Cu 0.500 0.000 0.500
Cu3 Cu 0.500 0.500 0.000
H1 H 0.500 0.500 0.500
```

Results
The space group is P4/mmm, No. 123. As for the total DFT energy (no corrections): -15.5 eV per cell.